[1]
Entry from the Alexandria database: a relaxed Re2PPtBr crystal (PBE).

abc: 5.382 5.382 4.352
angles: 90.00 90.00 90.00
Fractional coordinates of all 5 atoms:
Re 0.000 0.500 0.000
Re 0.500 0.000 0.000
P 0.000 0.000 0.500
Pt 0.000 0.000 0.000
Br 0.500 0.500 0.500

Calculated values
As for the total energy: -28.4 eV/f.u. For the density of states at the Fermi level, the calculation gives 2.5 states/eV/cell. The calculation puts the uncorrected formation energy at 1.919 eV/atom. The calculated volume is 126.1 Å³/cell. The symmetry is P4/mmm.

[2]
Entry from the Alexandria database: a relaxed P2PtSBr crystal (PBE).

abc: 4.825 4.825 4.566
angles: 90.00 90.00 90.00
Fractional coordinates of all 5 atoms:
P 0.000 0.500 0.000
P 0.500 0.000 0.000
Pt 0.000 0.000 0.500
S 0.500 0.500 0.500
Br 0.500 0.500 0.000

Calculated values
As for the total energy: -14.0 eV/f.u. For the density of states at the Fermi level, the calculation gives 4.8 states/eV/cell. As for the energy above the lowest structure with this stoichiometry: 962 meV/atom. The calculation puts the uncorrected formation energy at 1.728 eV/atom. The calculated volume is 106.3 Å³/cell. The symmetry is P4/mmm.

[3]
Entry from the Alexandria database: a relaxed P2PtSBr crystal (PBE).

abc: 4.699 4.699 4.900
angles: 90.00 90.00 90.00
Fractional coordinates of all 5 atoms:
P 0.000 0.500 0.000
P 0.500 0.000 0.000
Pt 0.000 0.000 0.000
S 0.000 0.000 0.500
Br 0.500 0.500 0.500

Calculated values
As for the total energy: -18.8 eV/f.u. For the density of states at the Fermi level, the calculation gives 6.3 states/eV/cell. As for the energy above the lowest structure with this stoichiometry: 0 meV/atom. The calculation puts the uncorrected formation energy at 0.767 eV/atom. The calculated volume is 108.2 Å³/cell. The symmetry is P4/mmm.

[4]
Entry from the Alexandria database: a relaxed PPtS2Br crystal (PBE).

abc: 4.788 4.788 4.691
angles: 90.00 90.00 90.00
Fractional coordinates of all 5 atoms:
P 0.000 0.000 0.000
Pt 0.000 0.000 0.500
S 0.000 0.500 0.500
S 0.500 0.000 0.500
Br 0.500 0.500 0.000

Calculated values
As for the total energy: -17.8 eV/f.u. For the density of states at the Fermi level, the calculation gives 6.3 states/eV/cell. As for the energy above the lowest structure with this stoichiometry: 0 meV/atom. The calculation puts the uncorrected formation energy at 0.719 eV/atom. The calculated volume is 107.5 Å³/cell. The symmetry is P4/mmm.

[5]
Entry from the Alexandria database: a relaxed Sm6PPt2Br3 crystal (PBE).

abc: 7.301 7.301 7.766
angles: 98.98 98.98 120.00
Fractional coordinates of all 12 atoms:
Sm 0.093 0.432 0.799
Sm 0.227 0.227 0.200
Sm 0.432 0.093 0.799
Sm 0.568 0.907 0.201
Sm 0.773 0.773 0.800
Sm 0.907 0.568 0.201
P 0.500 0.500 0.000
Pt 0.167 0.833 0.000
Pt 0.833 0.167 0.000
Br 0.000 0.000 0.500
Br 0.341 0.659 0.500
Br 0.659 0.341 0.500

Calculated values
As for the total energy: -66.1 eV/f.u. For the density of states at the Fermi level, the calculation gives 10.5 states/eV/cell. The calculation puts the uncorrected formation energy at -1.275 eV/atom. The calculated volume is 340.6 Å³/cell. The symmetry is C2/m.

[6]
Entry from the Alexandria database: a relaxed Sr4PPtBr2 crystal (PBE).

abc: 7.695 4.423 8.033
angles: 90.00 107.70 90.00
Fractional coordinates of all 8 atoms:
Sr 0.236 0.000 0.205
Sr 0.262 0.500 0.786
Sr 0.738 0.500 0.214
Sr 0.764 0.000 0.795
P 0.000 0.500 0.000
Pt 0.500 0.000 0.000
Br 0.000 0.000 0.500
Br 0.500 0.500 0.500

Calculated values
As for the total energy: -32.6 eV/f.u. For the density of states at the Fermi level, the calculation gives 2.6 states/eV/cell. The calculation puts the uncorrected formation energy at -1.383 eV/atom. The calculated volume is 260.5 Å³/cell. The symmetry is P2/m.

[7]
Entry from the Alexandria database: a relaxed Sr8PPt3Br4 crystal (PBE).

abc: 8.802 8.802 9.295
angles: 118.29 118.29 60.01
Fractional coordinates of all 16 atoms:
Sr 0.235 0.736 0.708
Sr 0.239 0.239 0.718
Sr 0.264 0.264 0.292
Sr 0.264 0.765 0.292
Sr 0.736 0.235 0.708
Sr 0.736 0.736 0.708
Sr 0.761 0.761 0.282
Sr 0.765 0.264 0.292
P 0.500 0.500 0.500
Pt 0.000 0.000 0.500
Pt 0.000 0.500 0.500
Pt 0.500 0.000 0.500
Br 0.000 0.000 0.000
Br 0.000 0.500 0.000
Br 0.500 0.000 0.000
Br 0.500 0.500 0.000

Calculated values
As for the total energy: -64.6 eV/f.u. For the density of states at the Fermi level, the calculation gives 6.0 states/eV/cell. The calculation puts the uncorrected formation energy at -1.310 eV/atom. The calculated volume is 522.0 Å³/cell. The symmetry is C2/m.

[8]
Entry from the Alexandria database: a relaxed Sr6PPt2Br3 crystal (PBE).

abc: 7.666 7.666 8.126
angles: 99.12 99.12 120.00
Fractional coordinates of all 12 atoms:
Sr 0.070 0.401 0.210
Sr 0.261 0.261 0.790
Sr 0.401 0.070 0.210
Sr 0.599 0.930 0.790
Sr 0.739 0.739 0.210
Sr 0.930 0.599 0.790
P 0.000 0.000 0.000
Pt 0.333 0.667 0.000
Pt 0.667 0.333 0.000
Br 0.164 0.836 0.500
Br 0.500 0.500 0.500
Br 0.836 0.164 0.500

Calculated values
As for the total energy: -48.5 eV/f.u. For the density of states at the Fermi level, the calculation gives 6.3 states/eV/cell. The calculation puts the uncorrected formation energy at -1.321 eV/atom. The calculated volume is 392.3 Å³/cell. The symmetry is C2/m.

[9]
Entry from the Alexandria database: a relaxed Sr8P3PtBr4 crystal (PBE).

abc: 9.145 9.145 9.145
angles: 58.24 58.24 58.24
Fractional coordinates of all 16 atoms:
Sr 0.236 0.236 0.236
Sr 0.236 0.737 0.737
Sr 0.263 0.263 0.764
Sr 0.263 0.764 0.263
Sr 0.737 0.236 0.737
Sr 0.737 0.737 0.236
Sr 0.764 0.263 0.263
Sr 0.764 0.764 0.764
P 0.000 0.000 0.500
P 0.000 0.500 0.000
P 0.500 0.000 0.000
Pt 0.500 0.500 0.500
Br 0.000 0.000 0.000
Br 0.000 0.500 0.500
Br 0.500 0.000 0.500
Br 0.500 0.500 0.000

Calculated values
As for the total energy: -65.9 eV/f.u. For the density of states at the Fermi level, the calculation gives 4.2 states/eV/cell. The calculation puts the uncorrected formation energy at -1.466 eV/atom. The calculated volume is 519.0 Å³/cell. The symmetry is R-3m.

[10]
Entry from the Alexandria database: a relaxed Sr6P2PtBr3 crystal (PBE).

abc: 7.670 7.670 8.055
angles: 99.19 99.19 120.06
Fractional coordinates of all 12 atoms:
Sr 0.096 0.430 0.790
Sr 0.236 0.236 0.214
Sr 0.430 0.096 0.790
Sr 0.570 0.904 0.210
Sr 0.764 0.764 0.786
Sr 0.904 0.570 0.210
P 0.166 0.834 0.000
P 0.834 0.166 0.000
Pt 0.500 0.500 0.000
Br 0.000 0.000 0.500
Br 0.326 0.674 0.500
Br 0.674 0.326 0.500

Calculated values
As for the total energy: -49.1 eV/f.u. For the density of states at the Fermi level, the calculation gives 2.6 states/eV/cell. The calculation puts the uncorrected formation energy at -1.430 eV/atom. The calculated volume is 388.6 Å³/cell. The symmetry is C2/m.

[11]
Entry from the Alexandria database: a relaxed Pu2PBr crystal (PBE).

abc: 3.927 3.927 7.738
angles: 90.00 90.00 120.00
Fractional coordinates of all 4 atoms:
Pu 0.333 0.667 0.210
Pu 0.667 0.333 0.790
P 0.000 0.000 0.000
Br 0.000 0.000 0.500

Calculated values
As for the total energy: -40.0 eV/f.u. For the density of states at the Fermi level, the calculation gives 19.7 states/eV/cell. The calculation puts the uncorrected formation energy at -1.057 eV/atom. The calculated volume is 103.3 Å³/cell. The symmetry is P-3m1.

[12]
Entry from the Alexandria database: a relaxed Pu7PBr12 crystal (PBE).

abc: 9.361 9.361 9.361
angles: 107.24 107.24 107.24
Fractional coordinates of all 20 atoms:
Pu 0.000 0.000 0.000
Pu 0.172 0.391 0.470
Pu 0.391 0.470 0.172
Pu 0.470 0.172 0.391
Pu 0.530 0.828 0.609
Pu 0.609 0.530 0.828
Pu 0.828 0.609 0.530
P 0.500 0.500 0.500
Br 0.040 0.345 0.119
Br 0.119 0.040 0.345
Br 0.184 0.726 0.575
Br 0.274 0.425 0.816
Br 0.345 0.119 0.040
Br 0.425 0.816 0.274
Br 0.575 0.184 0.726
Br 0.655 0.881 0.960
Br 0.726 0.575 0.184
Br 0.816 0.274 0.425
Br 0.881 0.960 0.655
Br 0.960 0.655 0.881

Calculated values
As for the total energy: -154.4 eV/f.u. For the density of states at the Fermi level, the calculation gives 74.9 states/eV/cell. The calculation puts the uncorrected formation energy at -1.428 eV/atom. The calculated volume is 678.6 Å³/cell. The symmetry is R-3.

calculated volume of number 11 (Pu2PBr)?
103.3 Å³/cell